Entry 1:
The following is a DFT calculation (PBE) of CoP2Se after structural relaxation.

The energy is -38.03 eV for the cell shown. Its crystal system is tetragonal. As for the uncorrected formation energy: 0.60 eV per atom.

It has space group I-4m2 (No. 119), with a = 4.299 Å, b = 4.299 Å, c = 6.138 Å, α = 90.00°, β = 90.00° and γ = 90.00°. The asymmetric unit holds Co at (0.000, 0.000, 0.000), P at (0.000, 0.000, 0.500), P at (0.000, 0.500, 0.750) and Se at (0.000, 0.500, 0.250).

=====

Entry 2:
The following is a DFT calculation (PBE) of AlOsPb2 after structural relaxation.

The energy is -40.78 eV for the cell shown. Its crystal system is orthorhombic. Its formation energy is 500 meV per atom.

It has space group Imm2 (No. 44), with a = 3.157 Å, b = 4.575 Å, c = 13.016 Å, α = 90.00°, β = 90.00° and γ = 90.00°. The asymmetric unit holds Al at (0.000, 0.000, 0.000), Os at (0.000, 0.500, 0.651), Pb at (0.000, 0.000, 0.373) and Pb at (0.000, 0.500, 0.181).

=====

Entry 3:
The following is a DFT calculation (PBE) of Li2Y2Tl3 after structural relaxation.

The energy is -51.34 eV for the cell shown. Its crystal system is orthorhombic. Its formation energy is -260 meV per atom.

It has space group Cmmm (No. 65), with a = 3.784 Å, b = 25.417 Å, c = 3.533 Å, α = 90.00°, β = 90.00° and γ = 90.00°. The asymmetric unit holds Li at (0.000, 0.213, 0.000), Y at (0.000, 0.080, 0.000), Tl at (0.000, 0.336, 0.500) and Tl at (0.000, 0.500, 0.500).

=====

Entry 4:
The following is a DFT calculation (PBE) of Rb3NaZn2H8 after structural relaxation.

The energy is -36.77 eV for the cell shown. Its crystal system is trigonal.

It has space group P-3m1 (No. 164), with a = 5.9483 Å, b = 5.9483 Å, c = 7.8454 Å, α = 90.00°, β = 90.00° and γ = 120.00°. The asymmetric unit holds Rb at (0.0000, 0.0000, 0.0000), Rb at (0.3333, 0.6667, 0.6822), Na at (0.0000, 0.0000, 0.5000), Zn at (0.3333, 0.6667, 0.2422), H at (0.1819, 0.3638, 0.3225) and H at (0.3333, 0.6667, 0.0349).

=====

Entry 5:
The following is a DFT calculation (PBE) of AlSi2W after structural relaxation.

The energy is -96.12 eV for the cell shown. Its crystal system is tetragonal. As for the uncorrected formation energy: 0.88 eV per atom.

It has space group I-42d (No. 122), with a = 5.798 Å, b = 5.798 Å, c = 10.952 Å, α = 90.00°, β = 90.00° and γ = 90.00°. The asymmetric unit holds Al at (0.000, 0.000, 0.000), Si at (0.237, 0.250, 0.625) and W at (0.000, 0.000, 0.500).

=====

Entry 6:
The following is a DFT calculation (PBE) of Ce2HoSn after structural relaxation.

The energy is -84.31 eV for the cell shown. Its energy above the most stable polymorph in this dataset is 0.2447 eV per atom. Its crystal system is cubic. Its formation energy is -157 meV per atom.

It has space group Fm-3m (No. 225), with a = 7.719 Å, b = 7.719 Å, c = 7.719 Å, α = 90.00°, β = 90.00° and γ = 90.00°. The asymmetric unit holds Ce at (0.250, 0.250, 0.250), Ho at (0.000, 0.000, 0.000) and Sn at (0.000, 0.000, 0.500).

=====

Entry 7:
The following is a DFT calculation (PBE) of Th2Cu3TcGe4 after structural relaxation.

The energy is -60.37 eV for the cell shown. Its crystal system is tetragonal. Its formation energy is -441 meV per atom.

It has space group P-4m2 (No. 115), with a = 4.202 Å, b = 4.202 Å, c = 10.261 Å, α = 90.00°, β = 90.00° and γ = 90.00°. The asymmetric unit holds Th at (0.000, 0.500, 0.250), Cu at (0.000, 0.000, 0.000), Cu at (0.000, 0.500, 0.629), Tc at (0.500, 0.500, 0.000), Ge at (0.000, 0.000, 0.500), Ge at (0.000, 0.500, 0.865) and Ge at (0.500, 0.500, 0.500).

=====

Entry 8:
The following is a DFT calculation (PBE) of K3Zn2PbO6 after structural relaxation.

The energy is -52.68 eV for the cell shown. Its crystal system is trigonal. As for the uncorrected formation energy: -1.12 eV per atom.

It has space group P-3m1 (No. 164), with a = 6.1161 Å, b = 6.1161 Å, c = 7.1700 Å, α = 90.00°, β = 90.00° and γ = 120.00°. The asymmetric unit holds K at (0.0000, 0.0000, 0.0000), K at (0.3333, 0.6667, 0.7502), Zn at (0.3333, 0.6667, 0.3151), Pb at (0.0000, 0.0000, 0.5000) and O at (0.1583, 0.3167, 0.2979).

=====

> Which of these has the lowest energy?

AlSi2W